<one>
Al2TlFe, relaxed, DFT PBE; symmetry = Cm
1.0
8.712 0.000 0.000
0.000 2.813 0.000
-2.344 0.000 6.367
Al Tl Fe
4 2 2
Direct
0.000 0.000 0.000
0.192 0.000 0.720
0.500 0.500 0.000
0.692 0.500 0.720
0.331 0.500 0.308
0.831 0.000 0.308
0.455 0.000 0.688
0.955 0.500 0.688

***

<two>
Al2TlFe, relaxed, DFT PBE; symmetry = P4mm
1.0
3.339 0.000 0.000
0.000 3.339 0.000
0.000 0.000 6.134
Al Tl Fe
2 1 1
Direct
0.000 0.000 0.000
0.500 0.500 0.249
0.500 0.500 0.701
0.000 0.000 0.390

***

<three>
Al2TlFe, relaxed, DFT PBE; symmetry = C2/m
1.0
5.529 0.000 0.000
0.000 9.798 0.000
-1.500 0.000 2.643
Al Tl Fe
4 2 2
Direct
0.250 0.250 0.000
0.250 0.750 0.000
0.750 0.250 0.000
0.750 0.750 0.000
0.000 0.000 0.000
0.500 0.500 0.000
0.000 0.500 0.000
0.500 0.000 0.000

***

<four>
Al2TlFe, relaxed, DFT PBE; symmetry = P4/mmm
1.0
4.117 0.000 0.000
0.000 4.117 0.000
0.000 0.000 4.000
Al Tl Fe
2 1 1
Direct
0.000 0.500 0.000
0.500 0.000 0.000
0.000 0.000 0.500
0.500 0.500 0.500

***

Top of the stability list: <one>, leading by 1.9 kJ/mol of atoms.